# 1
# Ta2AgP PBE relaxed
data_Ta2AgP
_chemical_formula_sum 'Ta4 Ag2 P2'
_cell_length_a 3.537
_cell_length_b 4.658
_cell_length_c 8.496
_cell_angle_alpha 90.00
_cell_angle_beta 90.00
_cell_angle_gamma 90.00
_space_group_name_H-M_alt 'C m m 2'
_space_group_IT_number 35
loop_
_space_group_symop_operation_xyz
'x,y,z'
'-x,-y,z'
'-x,y,z'
'x,-y,z'
'x+1/2,y+1/2,z'
'-x+1/2,-y+1/2,z'
'-x+1/2,y+1/2,z'
'x+1/2,-y+1/2,z'
loop_
_atom_site_label
_atom_site_type_symbol
_atom_site_fract_x
_atom_site_fract_y
_atom_site_fract_z
Ta1 Ta 0.000 0.000 0.000
Ta2 Ta 0.000 0.500 0.259
Ag1 Ag 0.000 0.500 0.733
P1 P 0.000 0.000 0.469
# final energy = -8.00 eV/atom
# theoretical density = 11.88 g/cm3
# ΔE_f = -0.01 eV/atom
# spin magnetization = 0.00 Bohr magnetons per cell



# 2
# CoCu2Mo PBE relaxed
data_CoCu2Mo
_chemical_formula_sum 'Co2 Cu4 Mo2'
_cell_length_a 3.570
_cell_length_b 3.570
_cell_length_c 7.873
_cell_angle_alpha 90.00
_cell_angle_beta 90.00
_cell_angle_gamma 90.00
_space_group_name_H-M_alt 'I 4/m m m'
_space_group_IT_number 139
_space_group_name_Hall '-I 4 2'
loop_
_atom_site_label
_atom_site_type_symbol
_atom_site_fract_x
_atom_site_fract_y
_atom_site_fract_z
Co1 Co 0.000 0.000 0.000
Cu1 Cu 0.000 0.500 0.250
Mo1 Mo 0.000 0.000 0.500
# final energy = -6.25 eV/atom
# relative energy among the computed polymorphs = 126 meV per atom
# theoretical density = 9.34 g/cm3
# ΔE_f = 0.28 eV/atom
# spin magnetization = 0.00 Bohr magnetons per cell



# 3
# Ac2PmNd PBE relaxed
data_Ac2PmNd
_chemical_formula_sum 'Ac6 Pm3 Nd3'
_cell_length_a 3.8581
_cell_length_b 3.8581
_cell_length_c 36.9465
_cell_angle_alpha 90.00
_cell_angle_beta 90.00
_cell_angle_gamma 120.00
_space_group_name_H-M_alt 'R 3 m'
_space_group_IT_number 160
_space_group_name_Hall 'R 3 -2"'
loop_
_atom_site_label
_atom_site_type_symbol
_atom_site_fract_x
_atom_site_fract_y
_atom_site_fract_z
Ac1 Ac 0.0000 0.0000 0.0000
Ac2 Ac 0.0000 0.0000 0.1656
Pm1 Pm 0.0000 0.0000 0.7499
Nd1 Nd 0.0000 0.0000 0.5816
# final energy = -4.40 eV/atom
# relative energy among the computed polymorphs = 11 meV per atom
# theoretical density = 7.77 g/cm3
# ΔE_f = 0.04 eV/atom
# spin magnetization = 0.00 Bohr magnetons per cell



# 4
# NaNd2Lu PBE relaxed
data_NaNd2Lu
_chemical_formula_sum 'Na1 Nd2 Lu1'
_cell_length_a 5.910
_cell_length_b 5.910
_cell_length_c 3.761
_cell_angle_alpha 90.00
_cell_angle_beta 90.00
_cell_angle_gamma 90.00
_space_group_name_H-M_alt 'P 4/m m m'
_space_group_IT_number 123
_space_group_name_Hall '-P 4 2'
loop_
_atom_site_label
_atom_site_type_symbol
_atom_site_fract_x
_atom_site_fract_y
_atom_site_fract_z
Na1 Na 0.000 0.000 0.000
Nd1 Nd 0.000 0.500 0.500
Lu1 Lu 0.500 0.500 0.000
# final energy = -3.65 eV/atom
# relative energy among the computed polymorphs = 88 meV per atom
# theoretical density = 6.15 g/cm3
# ΔE_f = 0.19 eV/atom
# spin magnetization = 0.00 Bohr magnetons per cell



# 5
# Li4Zr3NpS8 PBE relaxed
data_Li4Zr3NpS8
_chemical_formula_sum 'Li12 Zr9 Np3 S24'
_cell_length_a 7.3685
_cell_length_b 7.3685
_cell_length_c 18.7955
_cell_angle_alpha 90.00
_cell_angle_beta 90.00
_cell_angle_gamma 120.00
_space_group_name_H-M_alt 'R -3 m'
_space_group_IT_number 166
_space_group_name_Hall '-R 3 2"'
loop_
_atom_site_label
_atom_site_type_symbol
_atom_site_fract_x
_atom_site_fract_y
_atom_site_fract_z
Li1 Li 0.0000 0.0000 0.0000
Li2 Li 0.0000 0.5000 0.0000
Zr1 Zr 0.0000 0.5000 0.5000
Np1 Np 0.0000 0.0000 0.5000
S1 S 0.0000 0.0000 0.2496
S2 S 0.0101 0.5050 0.7490
# final energy = -6.43 eV/atom
# theoretical density = 4.48 g/cm3
# spin magnetization = 12.52 Bohr magnetons per cell
# energy relative to the elements, uncorrected = -142.8 kJ per mole of atoms



# 6
# Fe2AgMo PBE relaxed
data_Fe2AgMo
_chemical_formula_sum 'Fe6 Ag3 Mo3'
_cell_length_a 2.7383
_cell_length_b 2.7383
_cell_length_c 26.4776
_cell_angle_alpha 90.00
_cell_angle_beta 90.00
_cell_angle_gamma 120.00
_space_group_name_H-M_alt 'R 3 m'
_space_group_IT_number 160
_space_group_name_Hall 'R 3 -2"'
loop_
_atom_site_label
_atom_site_type_symbol
_atom_site_fract_x
_atom_site_fract_y
_atom_site_fract_z
Fe1 Fe 0.0000 0.0000 0.0000
Fe2 Fe 0.0000 0.0000 0.2636
Ag1 Ag 0.0000 0.0000 0.5092
Mo1 Mo 0.0000 0.0000 0.7459
# final energy = -7.29 eV/atom
# relative energy among the computed polymorphs = 83 meV per atom
# theoretical density = 9.14 g/cm3
# ΔE_f = 0.36 eV/atom
# spin magnetization = 12.28 Bohr magnetons per cell



Among the records above, which one has the highest final energy? NaNd2Lu